{
  "formula": "NpAl2Au3",
  "functional": "PBE",
  "state": "optimized geometry",
  "sg": "Cmcm",
  "m_tot_mub_per_atom": 0.742,
  "formation_enthalpy_0k_ev_per_atom": -0.2896,
  "cell": [[5.1173, -4.1637, 0.0000], [5.1173, 4.1637, 0.0000], [0.0000, 0.0000, 5.5733]],
  "species": ["Np", "Np", "Al", "Al", "Al", "Al", "Au", "Au", "Au", "Au", "Au", "Au"],
  "fractional_positions": [[0.1475, 0.8525, 0.7500], [0.8525, 0.1475, 0.2500], [0.2827, 0.2827, 0.0000], [0.2827, 0.2827, 0.5000], [0.7173, 0.7173, 0.0000], [0.7173, 0.7173, 0.5000], [0.0440, 0.6287, 0.2500], [0.3713, 0.9560, 0.2500], [0.4771, 0.5229, 0.2500], [0.5229, 0.4771, 0.7500], [0.6287, 0.0440, 0.7500], [0.9560, 0.3713, 0.7500]]
}

{
  "formula": "Np2Al6Au9",
  "functional": "PBE",
  "state": "optimized geometry",
  "sg": "P6/mmm",
  "m_tot_mub_per_atom": 0.524,
  "formation_enthalpy_0k_ev_per_atom": -0.1850,
  "cell": [[5.7902, 0.0000, 0.0000], [-2.8951, 5.0144, 0.0000], [0.0000, 0.0000, 12.2625]],
  "species": ["Np", "Np", "Al", "Al", "Al", "Al", "Al", "Al", "Au", "Au", "Au", "Au", "Au", "Au", "Au", "Au", "Au"],
  "fractional_positions": [[0.0000, 0.0000, 0.1753], [0.0000, 0.0000, 0.8247], [0.3333, 0.6667, 0.1650], [0.3333, 0.6667, 0.5000], [0.3333, 0.6667, 0.8350], [0.6667, 0.3333, 0.1650], [0.6667, 0.3333, 0.5000], [0.6667, 0.3333, 0.8350], [0.0000, 0.5000, 0.0000], [0.0000, 0.5000, 0.3322], [0.0000, 0.5000, 0.6678], [0.5000, 0.0000, 0.0000], [0.5000, 0.0000, 0.3322], [0.5000, 0.0000, 0.6678], [0.5000, 0.5000, 0.0000], [0.5000, 0.5000, 0.3322], [0.5000, 0.5000, 0.6678]]
}

Number 1: raw total energy -5.333 eV per atom. Number 2: raw total energy -4.763 eV per atom.